# 1
# Tb4Hg2PtS

A geometry-optimized Tb4Hg2PtS structure (GGA-PBE, the Alexandria database).

Unit cell a=3.9760 b=7.1507 c=7.7394 alpha=106.99 beta=90.00 gamma=90.00
Closest atoms and distances in Å follow each position.
Atoms (fractional coordinates):
Pt 0.5000 0.5000 0.0000  6 Tb 2.80-2.84
Hg 0.0000 0.5000 0.5000  6 Tb 3.17-3.18
Tb 0.0000 0.2645 0.7888  2 Pt 2.80, 1 S 2.84
Tb 0.0000 0.7355 0.2112  2 Pt 2.80, 1 S 2.84
Tb 0.5000 0.7653 0.7898  2 S 2.80, 1 Pt 2.84
Tb 0.5000 0.2347 0.2102  2 S 2.80, 1 Pt 2.84
Hg 0.5000 0.0000 0.5000  6 Tb 3.17
S 0.0000 0.0000 0.0000  6 Tb 2.80-2.84

Summary:
- Theoretical density: 9.97 Mg/m³
- V: 26.30 Å³ per atom
- Symmetry: P2/m, No. 10
- Uncorrected formation energy: -746 kJ/mol of formula units

---

# 2
# HgSb2Pt2

A geometry-optimized HgSb2Pt2 structure (GGA-PBE, the Alexandria database).

Unit cell a=4.8660 b=4.8660 c=6.1245 alpha=66.59 beta=66.59 gamma=90.00
Closest atoms and distances in Å follow each position.
Atoms (fractional coordinates):
Pt 0.3675 0.3675 0.2651  1 Pt 2.69, 4 Sb 2.71
Sb 0.2500 0.7500 0.5000  4 Pt 2.71
Hg 0.0000 0.0000 0.0000  8 Sb 3.51, 10 Pt 3.69-3.72
Sb 0.7500 0.2500 0.5000  4 Pt 2.71
Pt 0.6325 0.6325 0.7349  1 Pt 2.69, 4 Sb 2.71

Summary:
- Theoretical density: 11.55 Mg/m³
- V: 23.99 Å³ per atom
- Symmetry: I4/mmm, No. 139
- Uncorrected formation energy: -29 kJ/mol of formula units
- Offset from the most stable computed form: 127 meV/atom

---

# 3
# HgSb2Pt2

A geometry-optimized HgSb2Pt2 structure (GGA-PBE, the Alexandria database).

Unit cell a=7.5711 b=7.5711 c=3.7084 alpha=90.00 beta=90.00 gamma=90.00
Closest atoms and distances in Å follow each position.
Atoms (fractional coordinates):
Pt 0.6355 0.1355 0.0000  6 Sb 2.87-2.91, 1 Pt 2.90, 2 Hg 2.94
Sb 0.1597 0.6597 0.5000  6 Pt 2.87-2.91
Hg 0.0000 0.0000 0.0000  4 Pt 2.94
Sb 0.8403 0.3403 0.5000  6 Pt 2.87-2.91
Sb 0.3403 0.1597 0.5000  6 Pt 2.87-2.91
Sb 0.6597 0.8403 0.5000  6 Pt 2.87-2.91
Pt 0.3645 0.8645 0.0000  6 Sb 2.87-2.91, 1 Pt 2.90, 2 Hg 2.94
Hg 0.5000 0.5000 0.0000  4 Pt 2.94
Pt 0.8645 0.6355 0.0000  6 Sb 2.87-2.91, 1 Pt 2.90, 2 Hg 2.94
Pt 0.1355 0.3645 0.0000  6 Sb 2.87-2.91, 1 Pt 2.90, 2 Hg 2.94

Summary:
- Theoretical density: 13.03 Mg/m³
- V: 21.26 Å³ per atom
- Symmetry: P4/mbm, No. 127
- Uncorrected formation energy: -52 kJ/mol of formula units
- Offset from the most stable computed form: 80 meV/atom

---

Which value of V does entry 2 give?
23.99 Å³ per atom

---

Among the records above, which one has the lowest theoretical density?
Tb4Hg2PtS